PBE with a Hubbard U KRb3Cr2F9, optimized geometry; final energy = -77.0 eV per cell
1.0
-3.642 -4.649 1.788
4.367 2.136 3.800
-5.060 5.098 2.948
Cr Rb F K
2 3 9 1
Cartesian
0.953 0.624 3.563
-5.288 1.961 4.974
-2.690 -0.657 3.460
-1.645 3.241 5.077
0.000 0.000 0.000
1.415 2.404 4.304
-4.098 2.290 3.422
2.183 1.068 1.900
-1.821 -2.324 0.894
-0.565 1.435 2.580
0.362 -1.256 2.794
-0.237 0.295 5.115
-3.769 1.150 5.957
-5.750 0.181 4.233
-2.530 2.549 1.474